VASP calculation (PBE) on crystalline TbPmSc2 at its relaxed geometry.

Cell lengths 4.957, 4.957, 4.641 Å; angles 90.00, 90.00, 90.00 degrees
Space group P4/mmm (No. 123)
Asymmetric unit:
1 Tb 0.000 0.000 0.000 x1
2 Pm 0.500 0.500 0.000 x1
3 Sc 0.000 0.500 0.500 x2

## Properties
formation energy: 0.21 eV/f.u.
E_tot: -5.459 eV/atom